Record 1
La5NdSm12 | PBE-GGA | relaxed

Cell and atoms, written as CIF:
```
data_La5NdSm12
_cell_length_a 19.0650
_cell_length_b 10.9911
_cell_length_c 6.3482
_cell_angle_alpha 90.00
_cell_angle_beta 109.28
_cell_angle_gamma 90.00
_space_group_name_H-M_alt 'C 1 2/m 1'
_space_group_IT_number 12
_space_group_name_Hall '-C 2y'
loop_
_atom_site_label
_atom_site_type_symbol
_atom_site_fract_x
_atom_site_fract_y
_atom_site_fract_z
_atom_site_occupancy
La1 La 0.0000 0.0000 0.0000 1
La2 La 0.1664 0.0000 0.5003 1
La3 La 0.1663 0.5000 0.9996 1
Nd1 Nd 0.0000 0.5000 0.5000 1
Sm1 Sm 0.0000 0.1686 0.5000 1
Sm2 Sm 0.0000 0.3329 0.0000 1
Sm3 Sm 0.1661 0.3326 0.4991 1
Sm4 Sm 0.1667 0.1679 0.0009 1
```

Results
Size of the total moment, μB/f.u.: 0.00
ΔH_f (0 K), eV/atom: 0.02
D(E_F), states/eV per atom: 1.58
Calculated volume, Å³/atom: 34.9

---

Record 2
La2Nd8Sm | PBE-GGA | relaxed

Cell and atoms, written as CIF:
```
data_La2Nd8Sm
_cell_length_a 18.7928
_cell_length_b 5.2231
_cell_length_c 8.2543
_cell_angle_alpha 90.00
_cell_angle_beta 105.26
_cell_angle_gamma 90.00
_space_group_name_H-M_alt 'C 1 2/m 1'
_space_group_IT_number 12
_space_group_name_Hall '-C 2y'
loop_
_atom_site_label
_atom_site_type_symbol
_atom_site_fract_x
_atom_site_fract_y
_atom_site_fract_z
_atom_site_occupancy
La1 La 0.2271 0.0000 0.1363 1
Nd1 Nd 0.0445 0.0000 0.2280 1
Nd2 Nd 0.0901 0.5000 0.9532 1
Nd3 Nd 0.1354 0.0000 0.6784 1
Nd4 Nd 0.1811 0.5000 0.4079 1
Sm1 Sm 0.0000 0.5000 0.5000 1
```

Results
Size of the total moment, μB/f.u.: 0.00
ΔH_f (0 K), eV/atom: 0.01
D(E_F), states/eV per atom: 1.72
Calculated volume, Å³/atom: 35.5
Excess energy over the best structure of this formula in the dataset, eV/atom: 0.000

---

Record 3
La5Nd4Sm | PBE-GGA | relaxed

Cell and atoms, written as CIF:
```
data_La5Nd4Sm
_cell_length_a 6.9643
_cell_length_b 9.2505
_cell_length_c 11.7587
_cell_angle_alpha 90.00
_cell_angle_beta 90.00
_cell_angle_gamma 90.00
_space_group_name_H-M_alt 'P m m n'
_space_group_IT_number 59
loop_
_space_group_symop_operation_xyz
'x,y,z'
'-x,-y,-z'
'-x+1/2,-y+1/2,z'
'x+1/2,y+1/2,-z'
'x+1/2,-y,-z'
'-x+1/2,y,z'
'-x,y+1/2,-z'
'x,-y+1/2,z'
loop_
_atom_site_label
_atom_site_type_symbol
_atom_site_fract_x
_atom_site_fract_y
_atom_site_fract_z
_atom_site_occupancy
La1 La 0.0044 0.0682 0.2195 1
La2 La 0.2500 0.2500 0.7130 1
Nd1 Nd 0.0042 0.7500 0.0414 1
Nd2 Nd 0.2500 0.0457 0.4941 1
Sm1 Sm 0.2500 0.7500 0.3161 1
```

Results
Size of the total moment, μB/f.u.: 0.00
ΔH_f (0 K), eV/atom: 0.30
D(E_F), states/eV per atom: 1.62
Calculated volume, Å³/atom: 37.9
Excess energy over the best structure of this formula in the dataset, eV/atom: 0.158

---

Record 4
La15NdSm4 | PBE-GGA | relaxed

Cell and atoms, written as CIF:
```
data_La15NdSm4
_cell_length_a 5.2351
_cell_length_b 5.2351
_cell_length_c 26.2624
_cell_angle_alpha 90.00
_cell_angle_beta 90.00
_cell_angle_gamma 90.00
_space_group_name_H-M_alt 'P 4/m m m'
_space_group_IT_number 123
_space_group_name_Hall '-P 4 2'
loop_
_atom_site_label
_atom_site_type_symbol
_atom_site_fract_x
_atom_site_fract_y
_atom_site_fract_z
_atom_site_occupancy
La1 La 0.0000 0.0000 0.0000 1
La2 La 0.0000 0.0000 0.2002 1
La3 La 0.0000 0.0000 0.4000 1
La4 La 0.0000 0.5000 0.1004 1
La5 La 0.0000 0.5000 0.3001 1
La6 La 0.0000 0.5000 0.5000 1
Nd1 Nd 0.5000 0.5000 0.0000 1
Sm1 Sm 0.5000 0.5000 0.2002 1
Sm2 Sm 0.5000 0.5000 0.4000 1
```

Results
Size of the total moment, μB/f.u.: 0.00
ΔH_f (0 K), eV/atom: 0.01
D(E_F), states/eV per atom: 1.75
Calculated volume, Å³/atom: 36.0

---

Record 5
La6Nd2Sm5 | PBE-GGA | relaxed

Cell and atoms, written as CIF:
```
data_La6Nd2Sm5
_cell_length_a 12.0228
_cell_length_b 21.1101
_cell_length_c 3.6953
_cell_angle_alpha 90.00
_cell_angle_beta 90.00
_cell_angle_gamma 90.00
_space_group_name_H-M_alt 'P b a m'
_space_group_IT_number 55
_space_group_name_Hall '-P 2 2ab'
loop_
_atom_site_label
_atom_site_type_symbol
_atom_site_fract_x
_atom_site_fract_y
_atom_site_fract_z
_atom_site_occupancy
La1 La 0.0595 0.0782 0.0000 1
La2 La 0.0795 0.3660 0.0000 1
La3 La 0.1785 0.6311 0.5000 1
Nd1 Nd 0.1679 0.7859 0.0000 1
Sm1 Sm 0.0000 0.5000 0.5000 1
Sm2 Sm 0.0908 0.2240 0.5000 1
Sm3 Sm 0.1993 0.9435 0.5000 1
```

Results
Size of the total moment, μB/f.u.: 0.00
ΔH_f (0 K), eV/atom: 0.10
D(E_F), states/eV per atom: 1.43
Calculated volume, Å³/atom: 36.1

---

Record 6
La2Nd5Sm2 | PBE-GGA | relaxed

Cell and atoms, written as CIF:
```
data_La2Nd5Sm2
_cell_length_a 15.2246
_cell_length_b 12.1489
_cell_length_c 6.9478
_cell_angle_alpha 90.00
_cell_angle_beta 90.00
_cell_angle_gamma 90.00
_space_group_name_H-M_alt 'I m a 2'
_space_group_IT_number 46
_space_group_name_Hall 'I 2 -2a'
loop_
_atom_site_label
_atom_site_type_symbol
_atom_site_fract_x
_atom_site_fract_y
_atom_site_fract_z
_atom_site_occupancy
La1 La 0.1258 0.0036 0.0000 1
Nd1 Nd 0.0536 0.7479 0.1470 1
Nd2 Nd 0.1431 0.2331 0.3199 1
Nd3 Nd 0.2500 0.7378 0.3518 1
Sm1 Sm 0.0000 0.0000 0.4667 1
Sm2 Sm 0.2500 0.0062 0.5345 1
```

Results
Size of the total moment, μB/f.u.: 0.00
ΔH_f (0 K), eV/atom: 0.18
D(E_F), states/eV per atom: 1.61
Calculated volume, Å³/atom: 35.7
Excess energy over the best structure of this formula in the dataset, eV/atom: 0.161